A relaxed structure of MgFeMoIr, computed with PBE-GGA.

abc: 4.334 4.334 4.334
angles: 60.00 60.00 60.00
Element x y z (fractional)
Mg1 0.000 0.000 0.000
Fe1 0.750 0.750 0.750
Mo1 0.500 0.500 0.500
Ir1 0.250 0.250 0.250

Spin magnetization (Bohr magnetons per cell): 0.96
Formation energy from the elements (eV/atom): -0.01
Density of states at the Fermi level (states/eV/cell): 3.24
SG: No. 216